## Ce2PRh6 (PBE-GGA)

Data for a relaxed Ce2PRh6 crystal.

Geometry as extended XYZ:
```
9
Lattice="0.000 4.231 4.231 4.231 0.000 4.231 4.231 4.231 0.000" Properties=species:S:1:pos:R:3 pbc="T T T"
Ce 2.116 2.116 2.116
Ce 6.347 6.347 6.347
P 0.000 0.000 0.000
Rh 4.231 4.231 2.248
Rh 4.231 2.248 4.231
Rh 6.214 4.231 4.231
Rh 2.248 4.231 4.231
Rh 4.231 6.214 4.231
Rh 4.231 4.231 6.214
```

## Properties
- spin magnetization (Bohr magnetons per cell) = 0.0
- calculated formation energy (eV per atom) = -0.86
- symmetry = Fm-3m (225)